Arrangement a

# LaY2Ir (PBE-GGA, optimized geometry)
# theoretical density: 7.47 g cm⁻³
# V: 226.1 Å³ per cell
data_LaY2Ir
_chemical_formula_sum 'La2 Y4 Ir2'
_space_group_name_H-M_alt 'I m m m'
_space_group_IT_number 71
_space_group_name_Hall '-I 2 2'
_cell_length_a 3.639
_cell_length_b 5.395
_cell_length_c 11.518
_cell_angle_alpha 90.00
_cell_angle_beta 90.00
_cell_angle_gamma 90.00
loop_
_atom_site_label
_atom_site_fract_x
_atom_site_fract_y
_atom_site_fract_z
La1 0.000 0.000 0.000
Y1 0.000 0.500 0.192
Ir1 0.000 0.000 0.500

Arrangement b

# LaY2Ir (PBE-GGA, optimized geometry)
# theoretical density: 6.40 g cm⁻³
# V: 264.0 Å³ per cell
data_LaY2Ir
_chemical_formula_sum 'La2 Y4 Ir2'
_space_group_name_H-M_alt 'C m m m'
_space_group_IT_number 65
_space_group_name_Hall '-C 2 2'
_cell_length_a 5.802
_cell_length_b 11.308
_cell_length_c 4.023
_cell_angle_alpha 90.00
_cell_angle_beta 90.00
_cell_angle_gamma 90.00
loop_
_atom_site_label
_atom_site_fract_x
_atom_site_fract_y
_atom_site_fract_z
La1 0.000 0.000 0.000
Y1 0.000 0.336 0.500
Ir1 0.000 0.500 0.000

Arrangement c

# LaY2Ir (PBE-GGA, optimized geometry)
# theoretical density: 6.94 g cm⁻³
# V: 486.9 Å³ per cell
data_LaY2Ir
_chemical_formula_sum 'La4 Y8 Ir4'
_space_group_name_H-M_alt 'I -4 2 d'
_space_group_IT_number 122
_space_group_name_Hall 'I -4 2bw'
_cell_length_a 8.867
_cell_length_b 8.867
_cell_length_c 6.193
_cell_angle_alpha 90.00
_cell_angle_beta 90.00
_cell_angle_gamma 90.00
loop_
_atom_site_label
_atom_site_fract_x
_atom_site_fract_y
_atom_site_fract_z
La1 0.000 0.000 0.000
Y1 0.163 0.250 0.625
Ir1 0.000 0.000 0.500

Arrangement d

# LaY2Ir (PBE-GGA, optimized geometry)
# theoretical density: 6.64 g cm⁻³
# V: 382.1 Å³ per cell
data_LaY2Ir
_chemical_formula_sum 'La3 Y6 Ir3'
_space_group_name_H-M_alt 'R 3 m'
_space_group_IT_number 160
_space_group_name_Hall 'R 3 -2"'
_cell_length_a 3.9571
_cell_length_b 3.9571
_cell_length_c 28.1769
_cell_angle_alpha 90.00
_cell_angle_beta 90.00
_cell_angle_gamma 120.00
loop_
_atom_site_label
_atom_site_fract_x
_atom_site_fract_y
_atom_site_fract_z
La1 0.0000 0.0000 0.0000
Y1 0.0000 0.0000 0.5508
Y2 0.0000 0.0000 0.7803
Ir1 0.0000 0.0000 0.2752

Short version: arrangement a, arrangement b, arrangement d, arrangement c, most stable first.

Arrangement a

# LaY2Ir2 (PBE-GGA, optimized geometry)
# theoretical density: 9.16 g cm⁻³
# V: 254.1 Å³ per cell
data_LaY2Ir2
_chemical_formula_sum 'La2 Y4 Ir4'
_space_group_name_H-M_alt 'I 4/m m m'
_space_group_IT_number 139
_space_group_name_Hall '-I 4 2'
_cell_length_a 4.555
_cell_length_b 4.555
_cell_length_c 12.247
_cell_angle_alpha 90.00
_cell_angle_beta 90.00
_cell_angle_gamma 90.00
loop_
_atom_site_label
_atom_site_fract_x
_atom_site_fract_y
_atom_site_fract_z
La1 0.000 0.000 0.000
Y1 0.000 0.500 0.250
Ir1 0.000 0.000 0.395

Arrangement b

# LaY2Ir2 (PBE-GGA, optimized geometry)
# theoretical density: 9.72 g cm⁻³
# V: 239.7 Å³ per cell
data_LaY2Ir2
_chemical_formula_sum 'La2 Y4 Ir4'
_space_group_name_H-M_alt 'P 4/m b m'
_space_group_IT_number 127
_space_group_name_Hall '-P 4 2ab'
_cell_length_a 7.700
_cell_length_b 7.700
_cell_length_c 4.042
_cell_angle_alpha 90.00
_cell_angle_beta 90.00
_cell_angle_gamma 90.00
loop_
_atom_site_label
_atom_site_fract_x
_atom_site_fract_y
_atom_site_fract_z
La1 0.000 0.000 0.000
Y1 0.155 0.345 0.500
Ir1 0.141 0.641 0.000

Arrangement c

# LaY2Ir2 (PBE-GGA, optimized geometry)
# theoretical density: 8.58 g cm⁻³
# V: 271.4 Å³ per cell
data_LaY2Ir2
_chemical_formula_sum 'La2 Y4 Ir4'
_space_group_name_H-M_alt 'I 4/m m m'
_space_group_IT_number 139
_space_group_name_Hall '-I 4 2'
_cell_length_a 5.142
_cell_length_b 5.142
_cell_length_c 10.266
_cell_angle_alpha 90.00
_cell_angle_beta 90.00
_cell_angle_gamma 90.00
loop_
_atom_site_label
_atom_site_fract_x
_atom_site_fract_y
_atom_site_fract_z
La1 0.000 0.000 0.000
Y1 0.000 0.000 0.337
Ir1 0.000 0.500 0.250

Short version: arrangement b, arrangement a, arrangement c, most stable first.

Arrangement a

# La3YIr (PBE-GGA, optimized geometry)
# theoretical density: 6.33 g cm⁻³
# V: 182.9 Å³ per cell
data_La3YIr
_chemical_formula_sum 'La3 Y1 Ir1'
_space_group_name_H-M_alt 'P m -3 m'
_space_group_IT_number 221
_space_group_name_Hall '-P 4 2 3'
_cell_length_a 5.677
_cell_length_b 5.677
_cell_length_c 5.677
_cell_angle_alpha 90.00
_cell_angle_beta 90.00
_cell_angle_gamma 90.00
loop_
_atom_site_label
_atom_site_fract_x
_atom_site_fract_y
_atom_site_fract_z
La1 0.000 0.000 0.500
Y1 0.500 0.500 0.500
Ir1 0.000 0.000 0.000

Arrangement b

# La3YIr (PBE-GGA, optimized geometry)
# theoretical density: 6.88 g cm⁻³
# V: 168.5 Å³ per cell
data_La3YIr
_chemical_formula_sum 'La3 Y1 Ir1'
_space_group_name_H-M_alt 'P m -3 m'
_space_group_IT_number 221
_space_group_name_Hall '-P 4 2 3'
_cell_length_a 5.523
_cell_length_b 5.523
_cell_length_c 5.523
_cell_angle_alpha 90.00
_cell_angle_beta 90.00
_cell_angle_gamma 90.00
loop_
_atom_site_label
_atom_site_fract_x
_atom_site_fract_y
_atom_site_fract_z
La1 0.000 0.000 0.500
Y1 0.000 0.000 0.000
Ir1 0.500 0.500 0.500

Short version: arrangement a, arrangement b, most stable first.